Compound: Ac2Tl3CdSe6
Source: the Alexandria database
Functional: PBE
Structure: relaxed

Unit cell a=7.645 b=7.645 c=7.979 alpha=99.62 beta=99.62 gamma=119.64
Fractional coordinates of all 12 atoms:
Ac: 0.334 0.666 0.000
Ac: 0.666 0.334 0.000
Tl: 0.171 0.829 0.500
Tl: 0.829 0.171 0.500
Tl: 0.500 0.500 0.500
Cd: 0.000 0.000 0.000
Se: 0.925 0.611 0.781
Se: 0.752 0.752 0.233
Se: 0.075 0.389 0.219
Se: 0.611 0.925 0.781
Se: 0.248 0.248 0.767
Se: 0.389 0.075 0.219

Values from the calculation:
The calculation puts the uncorrected formation energy at -12.313 eV/f.u. The space-group type is No. 12. The value obtained for the density of states at the Fermi level is 8.42 states/eV per cell.